(1)
VASP calculation (PBE-GGA) on a geometry-optimized Rb2ZnPH structure.

Cell and atoms, written as POSCAR:
```
Rb2ZnPH
1.0
7.182 0.000 0.000
0.000 4.116 0.000
-3.466 0.000 9.396
Rb Zn P H
4 2 2 2
Direct
0.189 0.250 0.408 Rb
0.223 0.250 0.950 Rb
0.777 0.750 0.050 Rb
0.811 0.750 0.592 Rb
0.468 0.750 0.247 Zn
0.532 0.250 0.753 Zn
0.364 0.750 0.716 P
0.636 0.250 0.284 P
0.211 0.750 0.178 H
0.789 0.250 0.822 H
```

Calculated values
Its crystal system is monoclinic. The value obtained for the total DFT energy (no corrections) is -2.70 eV/atom.

***

(2)
VASP calculation (PBE-GGA) on a geometry-optimized CdIrBr2 structure.

Cell and atoms, written as POSCAR:
```
CdIrBr2
1.0
5.211 -1.791 0.000
5.211 1.791 0.000
-3.030 0.000 6.434
Cd Ir Br
1 1 2
Direct
0.000 0.000 0.000 Cd
0.735 0.735 0.000 Ir
0.166 0.166 0.728 Br
0.324 0.324 0.272 Br
```

Calculated values
The energy above the lowest structure with this stoichiometry is 0.39 eV/f.u. Its crystal system is monoclinic. The formation energy (no corrections) comes out at 0.220 eV per formula unit.

***

(3)
VASP calculation (PBE-GGA) on a geometry-optimized DyHoGe2 structure.

Cell and atoms, written as POSCAR:
```
DyHoGe2
1.0
5.304 0.000 0.000
0.000 5.304 0.000
0.000 0.000 3.208
Dy Ho Ge
1 1 2
Direct
0.000 0.000 0.000 Dy
0.500 0.500 0.000 Ho
0.000 0.500 0.500 Ge
0.500 0.000 0.500 Ge
```

Calculated values
Its crystal system is tetragonal. Its energy relative to the elements is -606 meV/atom.